Entry from OQMD via LeMat-Bulk: a relaxed MgInCoO4 crystal (PBE with a Hubbard U).

Cell lengths 6.040, 6.040, 8.413 Å; angles 90.00, 90.00, 90.00 degrees
Positions (direct):
Co (0.500, 0.268, 0.000)
Co (0.732, 0.500, 0.250)
Co (0.500, 0.732, 0.500)
Co (0.268, 0.500, 0.750)
In (0.000, 0.270, 0.000)
In (0.730, 0.000, 0.250)
In (0.000, 0.730, 0.500)
In (0.270, 0.000, 0.750)
Mg (0.252, 0.748, 0.125)
Mg (0.252, 0.252, 0.375)
Mg (0.748, 0.252, 0.625)
Mg (0.748, 0.748, 0.875)
O (0.273, 0.033, 0.008)
O (0.724, 0.494, 0.021)
O (0.506, 0.276, 0.229)
O (0.967, 0.727, 0.242)
O (0.967, 0.273, 0.258)
O (0.506, 0.724, 0.271)
O (0.724, 0.506, 0.479)
O (0.273, 0.967, 0.492)
O (0.727, 0.967, 0.508)
O (0.276, 0.506, 0.521)
O (0.494, 0.724, 0.729)
O (0.033, 0.273, 0.742)
O (0.033, 0.727, 0.758)
O (0.494, 0.276, 0.771)
O (0.276, 0.494, 0.979)
O (0.727, 0.033, 0.992)

Results
- theoretical density (g/cm3) = 5.67
- total magnetization (μB per formula unit) = 0.000
- final energy (eV per atom) = -5.8280